## ThSc3Cu8 (PBE)

Data for an optimized crystal structure of ThSc3Cu8.

Properties
DOS(E_F) = 8.58 states/eV/f.u.
formation energy = -0.20 eV per atom

Geometry as POSCAR:
```
ThSc3Cu8
1.0
5.146 0.000 0.000
-2.573 4.456 0.000
0.000 0.000 8.353
Th Sc Cu
1 3 8
Direct
0.000 0.000 0.000 Th
0.000 0.000 0.399 Sc
0.667 0.333 0.483 Sc
0.667 0.333 0.858 Sc
0.168 0.335 0.679 Cu
0.168 0.832 0.679 Cu
0.333 0.667 0.431 Cu
0.333 0.667 0.934 Cu
0.502 0.004 0.191 Cu
0.502 0.498 0.191 Cu
0.665 0.832 0.679 Cu
0.996 0.498 0.191 Cu
```